Density functional theory data (GGA+U) for a relaxed MgMn6O4F8 crystal.

## Properties
**Total DFT energy (no corrections)**: -6.57 eV/atom
**Excess energy over the best structure of this formula in the dataset**: 8 meV per atom

a = 5.757 Å, b = 5.762 Å, c = 8.209 Å
α = 71.11°, β = 80.35°, γ = 75.84°
Space group P1 (No. 1)
Symmetry-distinct sites (fractional):
1 Mg 0.000 0.000 0.000 x1
2 Mn 0.125 0.519 0.939 x1
3 Mn 0.245 0.309 0.597 x1
4 Mn 0.364 0.008 0.342 x1
5 Mn 0.518 0.988 0.972 x1
6 Mn 0.774 0.455 0.352 x1
7 Mn 0.825 0.927 0.597 x1
8 O 0.054 0.199 0.479 x1
9 O 0.227 0.137 0.090 x1
10 O 0.535 0.207 0.468 x1
11 O 0.821 0.856 0.863 x1
12 F 0.030 0.643 0.162 x1
13 F 0.159 0.702 0.515 x1
14 F 0.298 0.851 0.858 x1
15 F 0.441 0.327 0.776 x1
16 F 0.524 0.691 0.185 x1
17 F 0.664 0.728 0.481 x1
18 F 0.695 0.129 0.112 x1
19 F 0.983 0.335 0.795 x1